Record 1
Compound: UBi2As2Rh7
Source: the Alexandria database
Functional: PBE-GGA
Structure: optimized geometry

Properties
Total magnetization   0.00 μB/atom
DOS at the Fermi energy   6.0 states/eV per cell
Space-group type   C2/m
Calculated formation energy   -0.393 eV per atom

Cell lengths 3.987, 3.987, 14.298 Å; angles 95.54, 95.54, 90.06 degrees
Sites, in units of the cell vectors:
U 0.000 0.000 0.000
Bi 0.127 0.127 0.395
Bi 0.873 0.873 0.605
As 0.414 0.414 0.754
As 0.586 0.586 0.246
Rh 0.050 0.550 0.141
Rh 0.372 0.372 0.578
Rh 0.450 0.950 0.859
Rh 0.500 0.500 0.000
Rh 0.550 0.050 0.141
Rh 0.628 0.628 0.422
Rh 0.950 0.450 0.859

=====

Record 2
Compound: Ba8N2O
Source: the Alexandria database
Functional: PBE-GGA
Structure: optimized geometry

Properties
Total magnetization   0.03 μB/atom
DOS at the Fermi energy   8.2 states/eV per cell
Space-group type   C2/m
Formation energy (no corrections)   -629.2 meV per atom

Cell lengths 8.884, 8.884, 7.054 Å; angles 92.72, 92.72, 72.40 degrees
Sites, in units of the cell vectors:
Ba 0.082 0.718 0.793
Ba 0.161 0.161 0.711
Ba 0.282 0.918 0.207
Ba 0.357 0.357 0.288
Ba 0.643 0.643 0.712
Ba 0.718 0.082 0.793
Ba 0.839 0.839 0.289
Ba 0.918 0.282 0.207
N 0.189 0.189 0.363
N 0.811 0.811 0.637
O 0.000 0.000 0.000

=====

Record 3
Compound: ScAlC3
Source: the Alexandria database
Functional: PBE-GGA
Structure: optimized geometry

Properties
Total magnetization   0.00 μB/atom
DOS at the Fermi energy   2.5 states/eV per cell
Space-group type   Pm-3m
Energy above the most stable polymorph in this dataset   916.6 meV/atom
Calculated formation energy   2.301 eV per atom

Cell lengths 4.204, 4.204, 4.204 Å; angles 90.00, 90.00, 90.00 degrees
Sites, in units of the cell vectors:
Sc 0.000 0.000 0.000
Al 0.500 0.500 0.500
C 0.000 0.000 0.500
C 0.000 0.500 0.000
C 0.500 0.000 0.000

=====

Record 4
Compound: YMgIrPt
Source: the Alexandria database
Functional: PBE-GGA
Structure: optimized geometry

Properties
Total magnetization   0.00 μB/atom
DOS at the Fermi energy   10.5 states/eV per cell
Space-group type   F-43m
Calculated formation energy   -0.754 eV per atom

Cell lengths 6.660, 6.660, 6.660 Å; angles 90.00, 90.00, 90.00 degrees
Sites, in units of the cell vectors:
Y 0.000 0.000 0.000
Y 0.000 0.500 0.500
Y 0.500 0.000 0.500
Y 0.500 0.500 0.000
Mg 0.000 0.000 0.500
Mg 0.000 0.500 0.000
Mg 0.500 0.000 0.000
Mg 0.500 0.500 0.500
Ir 0.250 0.250 0.250
Ir 0.250 0.750 0.750
Ir 0.750 0.250 0.750
Ir 0.750 0.750 0.250
Pt 0.250 0.250 0.750
Pt 0.250 0.750 0.250
Pt 0.750 0.250 0.250
Pt 0.750 0.750 0.750

=====

Record 5
Compound: Nd2NiAu
Source: the Alexandria database
Functional: PBE-GGA
Structure: optimized geometry

Properties
Total magnetization   0.00 μB/atom
DOS at the Fermi energy   3.7 states/eV per cell
Space-group type   P4/mmm
Calculated formation energy   -0.484 eV per atom

Cell lengths 3.597, 3.597, 7.297 Å; angles 90.00, 90.00, 90.00 degrees
Sites, in units of the cell vectors:
Nd 0.000 0.000 0.234
Nd 0.000 0.000 0.766
Ni 0.500 0.500 0.000
Au 0.500 0.500 0.500

=====

Record 6
Compound: TaIr2Se
Source: the Alexandria database
Functional: PBE-GGA
Structure: optimized geometry

Properties
Total magnetization   0.00 μB/atom
DOS at the Fermi energy   2.7 states/eV per cell
Space-group type   P2/m
Formation energy (no corrections)   -70.6 meV per atom

Cell lengths 2.915, 4.279, 5.312 Å; angles 90.00, 105.92, 90.00 degrees
Sites, in units of the cell vectors:
Ta 0.000 0.000 0.000
Ir 0.376 0.500 0.744
Ir 0.624 0.500 0.256
Se 0.500 0.000 0.500

=====

Record 7
Compound: La2Sm7YTl2
Source: the Alexandria database
Functional: PBE-GGA
Structure: optimized geometry

Properties
Total magnetization   0.00 μB/atom
DOS at the Fermi energy   23.1 states/eV per cell
Space-group type   Cmmm
Calculated formation energy   -0.035 eV per atom

Cell lengths 6.144, 6.144, 11.377 Å; angles 90.00, 90.00, 110.62 degrees
Sites, in units of the cell vectors:
La 0.000 0.000 0.145
La 0.000 0.000 0.855
Sm 0.000 0.000 0.500
Sm 0.000 0.500 0.332
Sm 0.000 0.500 0.668
Sm 0.319 0.681 0.000
Sm 0.500 0.000 0.332
Sm 0.500 0.000 0.668
Sm 0.681 0.319 0.000
Y 0.500 0.500 0.500
Tl 0.500 0.500 0.229
Tl 0.500 0.500 0.771

=====

Record 8
Compound: Ac2Y2Pd15
Source: the Alexandria database
Functional: PBE-GGA
Structure: optimized geometry

Properties
Total magnetization   0.00 μB/atom
DOS at the Fermi energy   13.6 states/eV per cell
Space-group type   R-3m
Calculated formation energy   -0.607 eV per atom

Cell lengths 7.203, 7.203, 7.203 Å; angles 80.88, 80.88, 80.88 degrees
Sites, in units of the cell vectors:
Ac 0.143 0.143 0.143
Ac 0.857 0.857 0.857
Y 0.393 0.393 0.393
Y 0.607 0.607 0.607
Pd 0.000 0.500 0.500
Pd 0.151 0.151 0.656
Pd 0.151 0.656 0.151
Pd 0.199 0.500 0.801
Pd 0.199 0.801 0.500
Pd 0.344 0.849 0.849
Pd 0.500 0.000 0.500
Pd 0.500 0.199 0.801
Pd 0.500 0.500 0.000
Pd 0.500 0.801 0.199
Pd 0.656 0.151 0.151
Pd 0.801 0.199 0.500
Pd 0.801 0.500 0.199
Pd 0.849 0.344 0.849
Pd 0.849 0.849 0.344

=====

Record 9
Compound: HoPuPt4
Source: the Alexandria database
Functional: PBE-GGA
Structure: optimized geometry

Properties
Total magnetization   0.91 μB/atom
DOS at the Fermi energy   14.9 states/eV per cell
Space-group type   F-43m
Calculated formation energy   -0.969 eV per atom

Cell lengths 5.444, 5.444, 5.444 Å; angles 60.00, 60.00, 60.00 degrees
Sites, in units of the cell vectors:
Ho 0.000 0.000 0.000
Pu 0.750 0.750 0.750
Pt 0.375 0.375 0.375
Pt 0.375 0.375 0.875
Pt 0.375 0.875 0.375
Pt 0.875 0.375 0.375

=====

Record 10
Compound: LiTcGe
Source: the Alexandria database
Functional: PBE-GGA
Structure: optimized geometry

Properties
Total magnetization   0.00 μB/atom
DOS at the Fermi energy   2.8 states/eV per cell
Space-group type   Fmmm
Energy above the most stable polymorph in this dataset   0.0 meV/atom
Calculated formation energy   -0.208 eV per atom

Cell lengths 5.854, 4.996, 4.807 Å; angles 73.31, 54.83, 51.87 degrees
Sites, in units of the cell vectors:
Li 0.154 0.846 0.154
Li 0.846 0.154 0.846
Tc 0.364 0.364 0.636
Tc 0.636 0.636 0.364
Ge 0.250 0.250 0.250
Ge 0.750 0.750 0.750

=====

Record 11
Compound: InOs2Au
Source: the Alexandria database
Functional: PBE-GGA
Structure: optimized geometry

Properties
Total magnetization   0.00 μB/atom
DOS at the Fermi energy   9.2 states/eV per cell
Space-group type   Cmmm
Calculated formation energy   0.809 eV per atom

Cell lengths 2.887, 4.885, 9.545 Å; angles 90.00, 90.00, 90.00 degrees
Sites, in units of the cell vectors:
In 0.000 0.000 0.000
In 0.500 0.500 0.000
Os 0.000 0.500 0.247
Os 0.000 0.500 0.753
Os 0.500 0.000 0.247
Os 0.500 0.000 0.753
Au 0.000 0.000 0.500
Au 0.500 0.500 0.500

=====

Record 12
Compound: Ta2Co2Mo
Source: the Alexandria database
Functional: PBE-GGA
Structure: optimized geometry

Properties
Total magnetization   0.00 μB/atom
DOS at the Fermi energy   10.7 states/eV per cell
Space-group type   P4/mbm
Energy above the most stable polymorph in this dataset   0.0 meV/atom
Calculated formation energy   -0.050 eV per atom

Cell lengths 7.024, 7.024, 2.974 Å; angles 90.00, 90.00, 90.00 degrees
Sites, in units of the cell vectors:
Ta 0.173 0.327 0.000
Ta 0.327 0.827 0.000
Ta 0.673 0.173 0.000
Ta 0.827 0.673 0.000
Co 0.125 0.625 0.500
Co 0.375 0.125 0.500
Co 0.625 0.875 0.500
Co 0.875 0.375 0.500
Mo 0.000 0.000 0.500
Mo 0.500 0.500 0.500

=====

Which of these has the highest total magnetization? HoPuPt4